# 1
Computed, not measured: a geometry-optimized HoGeS2 structure at the PBE-GGA level of DFT.

Results
DFT total energy in eV/cell: -19.3
Offset from the most stable computed form in eV per atom: 0.606
Energy relative to the elements, uncorrected in meV per atom: -457
Calculated density in Mg/m³: 5.2
Space group: R-3m
DOS at the Fermi energy in states/eV/atom: 0.357

Structure (CIF):
```
data_HoGeS2
_cell_length_a 8.3778
_cell_length_b 8.3778
_cell_length_c 8.3778
_cell_angle_alpha 25.49
_cell_angle_beta 25.49
_cell_angle_gamma 25.49
_symmetry_space_group_name_H-M 'P 1'
_symmetry_Int_Tables_number 1
loop_
_symmetry_equiv_pos_as_xyz
'x,y,z'
loop_
_atom_site_label
_atom_site_type_symbol
_atom_site_fract_x
_atom_site_fract_y
_atom_site_fract_z
_atom_site_occupancy
Ho1 Ho 0.0000 0.0000 0.0000 1
Ge1 Ge 0.5000 0.5000 0.5000 1
S1 S 0.1073 0.1073 0.1073 1
S2 S 0.8927 0.8927 0.8927 1
```

***

# 2
Computed, not measured: a geometry-optimized Ac3NiGe3 structure at the PBE-GGA level of DFT.

Results
DFT total energy in eV/cell: -36.7
Offset from the most stable computed form in eV per atom: 0.000
Calculated density in Mg/m³: 8.4
Energy of formation in eV per atom: -0.68
Space group: Imm2
DOS at the Fermi energy in states/eV/atom: 0.677

Structure (CIF):
```
data_Ac3NiGe3
_cell_length_a 10.0623
_cell_length_b 10.0623
_cell_length_c 10.0623
_cell_angle_alpha 155.01
_cell_angle_beta 153.72
_cell_angle_gamma 36.58
_symmetry_space_group_name_H-M 'P 1'
_symmetry_Int_Tables_number 1
loop_
_symmetry_equiv_pos_as_xyz
'x,y,z'
loop_
_atom_site_label
_atom_site_type_symbol
_atom_site_fract_x
_atom_site_fract_y
_atom_site_fract_z
_atom_site_occupancy
Ac1 Ac 0.0000 0.0000 0.0000 1
Ac2 Ac 0.1771 0.6771 0.5000 1
Ac3 Ac 0.3629 0.3629 0.0000 1
Ni1 Ni 0.6083 0.1083 0.5000 1
Ge1 Ge 0.5465 0.5465 0.0000 1
Ge2 Ge 0.7317 0.2317 0.5000 1
Ge3 Ge 0.8183 0.8183 0.0000 1
```

***

# 3
Computed, not measured: a geometry-optimized RuCl2F8 structure at the PBE-GGA level of DFT.

Results
DFT total energy in eV/cell: -40.5
Energy relative to the elements, uncorrected in meV per atom: -1143
Calculated density in Mg/m³: 2.8
Space group: C2/m
DOS at the Fermi energy in states/eV/atom: 0.454

Structure (CIF):
```
data_RuCl2F8
_cell_length_a 6.7757
_cell_length_b 6.7757
_cell_length_c 5.4932
_cell_angle_alpha 100.32
_cell_angle_beta 100.32
_cell_angle_gamma 51.87
_symmetry_space_group_name_H-M 'P 1'
_symmetry_Int_Tables_number 1
loop_
_symmetry_equiv_pos_as_xyz
'x,y,z'
loop_
_atom_site_label
_atom_site_type_symbol
_atom_site_fract_x
_atom_site_fract_y
_atom_site_fract_z
_atom_site_occupancy
Ru1 Ru 0.0000 0.0000 0.0000 1
Cl1 Cl 0.2617 0.2617 0.4808 1
Cl2 Cl 0.7383 0.7383 0.5192 1
F1 F 0.0801 0.0801 0.3413 1
F2 F 0.1252 0.6803 0.0757 1
F3 F 0.3197 0.8748 0.9243 1
F4 F 0.3974 0.3974 0.5913 1
F5 F 0.6026 0.6026 0.4087 1
F6 F 0.6803 0.1252 0.0757 1
F7 F 0.8748 0.3197 0.9243 1
F8 F 0.9199 0.9199 0.6587 1
```

***

# 4
Computed, not measured: a geometry-optimized ZrTl2VCr structure at the PBE-GGA level of DFT.

Results
DFT total energy in eV/cell: -25.3
Calculated density in Mg/m³: 6.8
Energy of formation in eV per atom: 1.34
Space group: P4/mmm
DOS at the Fermi energy in states/eV/atom: 1.047

Structure (CIF):
```
data_ZrTl2VCr
_cell_length_a 5.6298
_cell_length_b 5.6298
_cell_length_c 4.6743
_cell_angle_alpha 90.00
_cell_angle_beta 90.00
_cell_angle_gamma 90.00
_symmetry_space_group_name_H-M 'P 1'
_symmetry_Int_Tables_number 1
loop_
_symmetry_equiv_pos_as_xyz
'x,y,z'
loop_
_atom_site_label
_atom_site_type_symbol
_atom_site_fract_x
_atom_site_fract_y
_atom_site_fract_z
_atom_site_occupancy
Zr1 Zr 0.0000 0.0000 0.0000 1
Tl1 Tl 0.0000 0.5000 0.0000 1
Tl2 Tl 0.5000 0.0000 0.0000 1
V1 V 0.0000 0.0000 0.5000 1
Cr1 Cr 0.5000 0.5000 0.5000 1
```

***

# 5
Computed, not measured: a geometry-optimized KLa2Zn structure at the PBE-GGA level of DFT.

Results
DFT total energy in eV/cell: -11.3
Offset from the most stable computed form in eV per atom: 0.227
Calculated density in Mg/m³: 4.0
Energy of formation in eV per atom: 0.24
Space group: Cm
DOS at the Fermi energy in states/eV/atom: 1.166

Structure (CIF):
```
data_KLa2Zn
_cell_length_a 6.0091
_cell_length_b 6.0091
_cell_length_c 7.7590
_cell_angle_alpha 102.43
_cell_angle_beta 102.43
_cell_angle_gamma 35.17
_symmetry_space_group_name_H-M 'P 1'
_symmetry_Int_Tables_number 1
loop_
_symmetry_equiv_pos_as_xyz
'x,y,z'
loop_
_atom_site_label
_atom_site_type_symbol
_atom_site_fract_x
_atom_site_fract_y
_atom_site_fract_z
_atom_site_occupancy
K1 K 0.0000 0.0000 0.0000 1
La1 La 0.2008 0.2008 0.6218 1
La2 La 0.4572 0.4572 0.4630 1
Zn1 Zn 0.7216 0.7216 0.3124 1
```

***

# 6
Computed, not measured: a geometry-optimized Si2RhCl structure at the PBE-GGA level of DFT.

Results
DFT total energy in eV/cell: -18.2
Offset from the most stable computed form in eV per atom: 0.565
Energy relative to the elements, uncorrected in meV per atom: 449
Calculated density in Mg/m³: 5.2
Space group: F-43m
DOS at the Fermi energy in states/eV/atom: 0.952

Structure (CIF):
```
data_Si2RhCl
_cell_length_a 4.4449
_cell_length_b 4.4449
_cell_length_c 4.4449
_cell_angle_alpha 60.00
_cell_angle_beta 60.00
_cell_angle_gamma 60.00
_symmetry_space_group_name_H-M 'P 1'
_symmetry_Int_Tables_number 1
loop_
_symmetry_equiv_pos_as_xyz
'x,y,z'
loop_
_atom_site_label
_atom_site_type_symbol
_atom_site_fract_x
_atom_site_fract_y
_atom_site_fract_z
_atom_site_occupancy
Si1 Si 0.0000 0.0000 0.0000 1
Si2 Si 0.2500 0.2500 0.2500 1
Rh1 Rh 0.5000 0.5000 0.5000 1
Cl1 Cl 0.7500 0.7500 0.7500 1
```

***

# 7
Computed, not measured: a geometry-optimized PRu4Pb structure at the PBE-GGA level of DFT.

Results
DFT total energy in eV/cell: -41.7
Calculated density in Mg/m³: 10.7
Energy of formation in eV per atom: 0.76
Space group: F-43m
DOS at the Fermi energy in states/eV/atom: 1.561

Structure (CIF):
```
data_PRu4Pb
_cell_length_a 5.2043
_cell_length_b 5.2043
_cell_length_c 5.2043
_cell_angle_alpha 60.00
_cell_angle_beta 60.00
_cell_angle_gamma 60.00
_symmetry_space_group_name_H-M 'P 1'
_symmetry_Int_Tables_number 1
loop_
_symmetry_equiv_pos_as_xyz
'x,y,z'
loop_
_atom_site_label
_atom_site_type_symbol
_atom_site_fract_x
_atom_site_fract_y
_atom_site_fract_z
_atom_site_occupancy
P1 P 0.0000 0.0000 0.0000 1
Ru1 Ru 0.3743 0.3743 0.3743 1
Ru2 Ru 0.3743 0.3743 0.8772 1
Ru3 Ru 0.3743 0.8772 0.3743 1
Ru4 Ru 0.8772 0.3743 0.3743 1
Pb1 Pb 0.7500 0.7500 0.7500 1
```

***

# 8
Computed, not measured: a geometry-optimized Li2As structure at the PBE-GGA level of DFT.

Results
DFT total energy in eV/cell: -17.6
Offset from the most stable computed form in eV per atom: 0.519
Calculated density in Mg/m³: 3.1
Energy of formation in eV per atom: -0.11
Space group: Fd-3m
DOS at the Fermi energy in states/eV/atom: 0.528

Structure (CIF):
```
data_Li2As
_cell_length_a 5.1090
_cell_length_b 5.1090
_cell_length_c 5.1090
_cell_angle_alpha 60.00
_cell_angle_beta 60.00
_cell_angle_gamma 60.00
_symmetry_space_group_name_H-M 'P 1'
_symmetry_Int_Tables_number 1
loop_
_symmetry_equiv_pos_as_xyz
'x,y,z'
loop_
_atom_site_label
_atom_site_type_symbol
_atom_site_fract_x
_atom_site_fract_y
_atom_site_fract_z
_atom_site_occupancy
Li1 Li 0.0000 0.0000 0.0000 1
Li2 Li 0.0000 0.0000 0.5000 1
Li3 Li 0.0000 0.5000 0.0000 1
Li4 Li 0.5000 0.0000 0.0000 1
As1 As 0.3750 0.3750 0.3750 1
As2 As 0.6250 0.6250 0.6250 1
```

***

# 9
Computed, not measured: a geometry-optimized NaLi9Ag2 structure at the PBE-GGA level of DFT.

Results
DFT total energy in eV/cell: -49.7
Calculated density in Mg/m³: 2.0
Energy of formation in eV per atom: -0.05
Space group: I4_1/amd
DOS at the Fermi energy in states/eV/atom: 0.410

Structure (CIF):
```
data_NaLi9Ag2
_cell_length_a 8.9360
_cell_length_b 8.9360
_cell_length_c 8.9360
_cell_angle_alpha 99.99
_cell_angle_beta 99.99
_cell_angle_gamma 130.76
_symmetry_space_group_name_H-M 'P 1'
_symmetry_Int_Tables_number 1
loop_
_symmetry_equiv_pos_as_xyz
'x,y,z'
loop_
_atom_site_label
_atom_site_type_symbol
_atom_site_fract_x
_atom_site_fract_y
_atom_site_fract_z
_atom_site_occupancy
Na1 Na 0.3750 0.6250 0.7500 1
Na2 Na 0.6250 0.3750 0.2500 1
Li1 Li 0.1250 0.8750 0.2500 1
Li2 Li 0.1345 0.5645 0.3238 1
Li3 Li 0.1345 0.8107 0.5701 1
Li4 Li 0.1893 0.2594 0.3238 1
Li5 Li 0.1893 0.8655 0.9299 1
Li6 Li 0.2594 0.1893 0.8238 1
Li7 Li 0.2594 0.4355 0.0701 1
Li8 Li 0.4355 0.2594 0.5701 1
Li9 Li 0.4355 0.8655 0.1762 1
Li10 Li 0.5645 0.1345 0.8238 1
Li11 Li 0.5645 0.7406 0.4299 1
Li12 Li 0.7406 0.5645 0.9299 1
Li13 Li 0.7406 0.8107 0.1762 1
Li14 Li 0.8107 0.1345 0.0701 1
Li15 Li 0.8107 0.7406 0.6762 1
Li16 Li 0.8655 0.1893 0.4299 1
Li17 Li 0.8655 0.4355 0.6762 1
Li18 Li 0.8750 0.1250 0.7500 1
Ag1 Ag 0.0000 0.0000 0.0000 1
Ag2 Ag 0.0000 0.0000 0.5000 1
Ag3 Ag 0.0000 0.5000 0.0000 1
Ag4 Ag 0.5000 0.0000 0.5000 1
```

***

# 10
Computed, not measured: a geometry-optimized SnN2F structure at the PBE-GGA level of DFT.

Results
DFT total energy in eV/cell: -17.9
Offset from the most stable computed form in eV per atom: 0.434
Energy relative to the elements, uncorrected in meV per atom: 1155
Calculated density in Mg/m³: 6.5
Space group: Fm-3m
DOS at the Fermi energy in states/eV/atom: 1.097

Structure (CIF):
```
data_SnN2F
_cell_length_a 3.9042
_cell_length_b 3.9042
_cell_length_c 3.9042
_cell_angle_alpha 60.00
_cell_angle_beta 60.00
_cell_angle_gamma 60.00
_symmetry_space_group_name_H-M 'P 1'
_symmetry_Int_Tables_number 1
loop_
_symmetry_equiv_pos_as_xyz
'x,y,z'
loop_
_atom_site_label
_atom_site_type_symbol
_atom_site_fract_x
_atom_site_fract_y
_atom_site_fract_z
_atom_site_occupancy
Sn1 Sn 0.0000 0.0000 0.0000 1
N1 N 0.2500 0.2500 0.2500 1
N2 N 0.7500 0.7500 0.7500 1
F1 F 0.5000 0.5000 0.5000 1
```